First-principles (PBE-GGA) data for a geometry-optimized Ce4PaAs6 structure, as listed in Alexandria via LeMat-Bulk.

Values from the calculation:
- Final energy: -6.7179 eV/atom
- Total moment: 0.272 μB/atom
- DFT formation energy: -1.16 eV/atom
- Space-group type: R-3c, No. 167

a = 8.2774 Å, b = 8.2774 Å, c = 8.2774 Å
α = 89.25°, β = 89.25°, γ = 89.25°
With the nearest neighbours (Å) after each atom.
Fractional coordinates of all 22 atoms:
Ce: 0.1314 0.7500 0.3686  8 As 2.96-3.22
Ce: 0.2500 0.2500 0.2500  6 As 3.02
Ce: 0.2500 0.6314 0.8686  8 As 2.96-3.22
Ce: 0.3686 0.1314 0.7500  8 As 2.96-3.22
Ce: 0.6314 0.8686 0.2500  8 As 2.96-3.22
Ce: 0.7500 0.3686 0.1314  8 As 2.96-3.22
Ce: 0.7500 0.7500 0.7500  6 As 3.02
Ce: 0.8686 0.2500 0.6314  8 As 2.96-3.22
Pa: 0.0000 0.0000 0.0000  6 As 2.81
Pa: 0.5000 0.5000 0.5000  6 As 2.81
As: 0.0671 0.9154 0.6788  1 Pa 2.81, 2 Ce 2.96-3.02
As: 0.0846 0.3212 0.9329  1 Pa 2.81, 2 Ce 2.96-3.02
As: 0.1788 0.4154 0.5671  1 Pa 2.81, 2 Ce 2.96-3.02
As: 0.3212 0.9329 0.0846  1 Pa 2.81, 2 Ce 2.96-3.02
As: 0.4154 0.5671 0.1788  1 Pa 2.81, 2 Ce 2.96-3.02
As: 0.4329 0.8212 0.5846  1 Pa 2.81, 2 Ce 2.96-3.02
As: 0.5671 0.1788 0.4154  1 Pa 2.81, 2 Ce 2.96-3.02
As: 0.5846 0.4329 0.8212  1 Pa 2.81, 2 Ce 2.96-3.02
As: 0.6788 0.0671 0.9154  1 Pa 2.81, 2 Ce 2.96-3.02
As: 0.8212 0.5846 0.4329  1 Pa 2.81, 2 Ce 2.96-3.02
As: 0.9154 0.6788 0.0671  1 Pa 2.81, 2 Ce 2.96-3.02
As: 0.9329 0.0846 0.3212  1 Pa 2.81, 2 Ce 2.96-3.02

First-principles (PBE-GGA) data for a geometry-optimized CePa2As4 structure, as listed in Alexandria via LeMat-Bulk.

Values from the calculation:
- Final energy: -7.1622 eV/atom
- Total moment: 0.159 μB/atom
- DFT formation energy: -0.94 eV/atom
- Space-group type: Cmcm, No. 63

a = 7.1233 Å, b = 7.1233 Å, c = 13.2341 Å
α = 90.00°, β = 90.00°, γ = 146.44°
With the nearest neighbours (Å) after each atom.
Fractional coordinates of all 14 atoms:
Ce: 0.1143 0.8857 0.7500  6 As 2.94-3.10
Ce: 0.8857 0.1143 0.2500  6 As 2.94-3.10
Pa: 0.3680 0.6320 0.5635  6 As 2.77-2.87
Pa: 0.3680 0.6320 0.9365  6 As 2.77-2.87
Pa: 0.6320 0.3680 0.0635  6 As 2.77-2.87
Pa: 0.6320 0.3680 0.4365  6 As 2.77-2.87
As: 0.0000 0.0000 0.0000  4 Pa 2.86
As: 0.0000 0.0000 0.5000  4 Pa 2.86
As: 0.2658 0.7342 0.1261  3 Pa 2.87, 2 Ce 3.10
As: 0.2658 0.7342 0.3739  3 Pa 2.87, 2 Ce 3.10
As: 0.4600 0.5400 0.7500  2 Pa 2.77, 2 Ce 2.94
As: 0.5400 0.4600 0.2500  2 Pa 2.77, 2 Ce 2.94
As: 0.7342 0.2658 0.6261  3 Pa 2.87, 2 Ce 3.10
As: 0.7342 0.2658 0.8739  3 Pa 2.87, 2 Ce 3.10

First-principles (PBE-GGA) data for a geometry-optimized Ce5Pa3As8 structure, as listed in Alexandria via LeMat-Bulk.

Values from the calculation:
- Final energy: -7.2461 eV/atom
- Total moment: 0.207 μB/atom
- DFT formation energy: -1.29 eV/atom
- Space-group type: R-3m, No. 166

a = 8.3338 Å, b = 8.3338 Å, c = 8.3338 Å
α = 59.90°, β = 59.90°, γ = 59.90°
With the nearest neighbours (Å) after each atom.
Fractional coordinates of all 16 atoms:
Ce: 0.0000 0.0000 0.0000  6 As 2.94
Ce: 0.0000 0.5000 0.5000  6 As 2.98-2.99
Ce: 0.5000 0.0000 0.5000  6 As 2.98-2.99
Ce: 0.5000 0.5000 0.0000  6 As 2.98-2.99
Ce: 0.5000 0.5000 0.5000  6 As 2.94
Pa: 0.0000 0.0000 0.5000  6 As 2.90-2.91
Pa: 0.0000 0.5000 0.0000  6 As 2.90-2.91
Pa: 0.5000 0.0000 0.0000  6 As 2.90-2.91
As: 0.2431 0.7500 0.7500  2 Pa 2.90, 4 Ce 2.94-2.99
As: 0.2470 0.2470 0.2470  3 Pa 2.91, 3 Ce 2.98
As: 0.2500 0.2500 0.7569  2 Pa 2.90, 4 Ce 2.94-2.99
As: 0.2500 0.7569 0.2500  2 Pa 2.90, 4 Ce 2.94-2.99
As: 0.7500 0.2431 0.7500  2 Pa 2.90, 4 Ce 2.94-2.99
As: 0.7500 0.7500 0.2431  2 Pa 2.90, 4 Ce 2.94-2.99
As: 0.7530 0.7530 0.7530  3 Pa 2.91, 3 Ce 2.98
As: 0.7569 0.2500 0.2500  2 Pa 2.90, 4 Ce 2.94-2.99

First-principles (PBE-GGA) data for a geometry-optimized Ce3PaAs4 structure, as listed in Alexandria via LeMat-Bulk.

Values from the calculation:
- Final energy: -7.0659 eV/atom
- Total moment: 0.327 μB/atom
- DFT formation energy: -1.33 eV/atom
- Space-group type: I4/mmm, No. 139
- Distance to the lowest polymorph of the same formula: 0.02 eV/f.u.

a = 7.2439 Å, b = 7.2439 Å, c = 7.2439 Å
α = 131.85°, β = 131.85°, γ = 70.47°
With the nearest neighbours (Å) after each atom.
Fractional coordinates of all 8 atoms:
Ce: 0.0000 0.0000 0.0000  6 As 2.96-3.02
Ce: 0.2500 0.7500 0.5000  6 As 2.96
Ce: 0.7500 0.2500 0.5000  6 As 2.96
Pa: 0.5000 0.5000 0.0000  6 As 2.90-2.96
As: 0.0000 0.5000 0.5000  4 Ce 2.96, 2 Pa 2.96
As: 0.2551 0.2551 0.0000  1 Pa 2.90, 5 Ce 2.96-3.02
As: 0.5000 0.0000 0.5000  4 Ce 2.96, 2 Pa 2.96
As: 0.7449 0.7449 0.0000  1 Pa 2.90, 5 Ce 2.96-3.02

First-principles (PBE-GGA) data for a geometry-optimized CePaAs2 structure, as listed in Alexandria via LeMat-Bulk.

Values from the calculation:
- Final energy: -7.4251 eV/atom
- Total moment: 0.128 μB/atom
- DFT formation energy: -1.24 eV/atom
- Space-group type: R-3m, No. 166
- Distance to the lowest polymorph of the same formula: 0.00 eV/f.u.

a = 7.2044 Å, b = 7.2044 Å, c = 7.2044 Å
α = 33.40°, β = 33.40°, γ = 33.40°
With the nearest neighbours (Å) after each atom.
Fractional coordinates of all 4 atoms:
Ce: 0.0000 0.0000 0.0000  6 As 2.97
Pa: 0.5000 0.5000 0.5000  6 As 2.90
As: 0.2472 0.2472 0.2472  3 Pa 2.90, 3 Ce 2.97
As: 0.7528 0.7528 0.7528  3 Pa 2.90, 3 Ce 2.97

First-principles (PBE-GGA) data for a geometry-optimized Ce2PaAs structure, as listed in Alexandria via LeMat-Bulk.

Values from the calculation:
- Final energy: -6.9311 eV/atom
- Total moment: 0.667 μB/atom
- DFT formation energy: -0.43 eV/atom
- Space-group type: P4/mmm, No. 123
- Distance to the lowest polymorph of the same formula: 0.24 eV/f.u.

a = 3.8457 Å, b = 3.8457 Å, c = 6.5922 Å
α = 90.00°, β = 90.00°, γ = 90.00°
With the nearest neighbours (Å) after each atom.
Fractional coordinates of all 4 atoms:
Ce: 0.0000 0.0000 0.2288  1 Ce 3.02, 4 As 3.11, 4 Pa 3.25
Ce: 0.0000 0.0000 0.7712  1 Ce 3.02, 4 As 3.11, 4 Pa 3.25
Pa: 0.5000 0.5000 0.5000  8 Ce 3.25, 2 As 3.30
As: 0.5000 0.5000 0.0000  8 Ce 3.11, 2 Pa 3.30

First-principles (PBE-GGA) data for a geometry-optimized CePaAs2 structure, as listed in Alexandria via LeMat-Bulk.

Values from the calculation:
- Final energy: -7.1580 eV/atom
- Total moment: 0.408 μB/atom
- DFT formation energy: -0.98 eV/atom
- Space-group type: P4/mmm, No. 123
- Distance to the lowest polymorph of the same formula: 1.07 eV/f.u.

a = 3.5514 Å, b = 3.5514 Å, c = 7.1662 Å
α = 90.00°, β = 90.00°, γ = 90.00°
With the nearest neighbours (Å) after each atom.
Fractional coordinates of all 4 atoms:
Ce: 0.0000 0.0000 0.0000  8 As 3.13
Pa: 0.0000 0.0000 0.5000  8 As 3.04
As: 0.5000 0.5000 0.2616  4 Pa 3.04, 4 Ce 3.13
As: 0.5000 0.5000 0.7384  4 Pa 3.04, 4 Ce 3.13

First-principles (PBE-GGA) data for a geometry-optimized CePaAs2 structure, as listed in Alexandria via LeMat-Bulk.

Values from the calculation:
- Final energy: -7.2485 eV/atom
- Total moment: 0.285 μB/atom
- DFT formation energy: -1.07 eV/atom
- Space-group type: R3m, No. 160
- Distance to the lowest polymorph of the same formula: 0.71 eV/f.u.

a = 7.7002 Å, b = 7.7002 Å, c = 7.7002 Å
α = 30.17°, β = 30.17°, γ = 30.17°
With the nearest neighbours (Å) after each atom.
Fractional coordinates of all 4 atoms:
Ce: 0.0000 0.0000 0.0000  6 As 2.92-3.03
Pa: 0.8266 0.8266 0.8266  6 As 2.90-2.97
As: 0.4138 0.4138 0.4138  3 Pa 2.90, 3 Ce 2.92
As: 0.5778 0.5778 0.5778  3 Pa 2.97, 3 Ce 3.03

First-principles (PBE-GGA) data for a geometry-optimized CePaAs2 structure, as listed in Alexandria via LeMat-Bulk.

Values from the calculation:
- Final energy: -7.4202 eV/atom
- Total moment: 0.071 μB/atom
- DFT formation energy: -1.24 eV/atom
- Space-group type: I4_1/amd, No. 141
- Distance to the lowest polymorph of the same formula: 0.02 eV/f.u.

a = 7.1765 Å, b = 7.1765 Å, c = 7.1765 Å
α = 131.85°, β = 131.85°, γ = 70.47°
With the nearest neighbours (Å) after each atom.
Fractional coordinates of all 8 atoms:
Ce: 0.3750 0.6250 0.7500  6 As 2.93-2.97
Ce: 0.6250 0.3750 0.2500  6 As 2.93-2.97
Pa: 0.1250 0.8750 0.2500  6 As 2.89-2.93
Pa: 0.8750 0.1250 0.7500  6 As 2.89-2.93
As: 0.1219 0.3719 0.7500  3 Pa 2.89-2.93, 3 Ce 2.93-2.97
As: 0.3719 0.1219 0.2500  3 Pa 2.89-2.93, 3 Ce 2.93-2.97
As: 0.6281 0.8781 0.7500  3 Pa 2.89-2.93, 3 Ce 2.93-2.97
As: 0.8781 0.6281 0.2500  3 Pa 2.89-2.93, 3 Ce 2.93-2.97

First-principles (PBE-GGA) data for a geometry-optimized CePa2As structure, as listed in Alexandria via LeMat-Bulk.

Values from the calculation:
- Final energy: -7.8410 eV/atom
- Total moment: 0.000 μB/atom
- DFT formation energy: -0.45 eV/atom
- Space-group type: P4/mmm, No. 123
- Distance to the lowest polymorph of the same formula: 0.00 eV/f.u.

a = 4.4285 Å, b = 4.4285 Å, c = 4.6115 Å
α = 90.00°, β = 90.00°, γ = 90.00°
With the nearest neighbours (Å) after each atom.
Fractional coordinates of all 4 atoms:
Ce: 0.0000 0.0000 0.0000  4 As 3.13, 8 Pa 3.20
Pa: 0.0000 0.5000 0.5000  4 Pa 3.13, 4 As 3.20, 4 Ce 3.20
Pa: 0.5000 0.0000 0.5000  4 Pa 3.13, 4 As 3.20, 4 Ce 3.20
As: 0.5000 0.5000 0.0000  4 Ce 3.13, 8 Pa 3.20

First-principles (PBE-GGA) data for a geometry-optimized CePa2As structure, as listed in Alexandria via LeMat-Bulk.

Values from the calculation:
- Final energy: -7.4012 eV/atom
- Total moment: 0.000 μB/atom
- DFT formation energy: -0.01 eV/atom
- Space-group type: R-3m, No. 166
- Distance to the lowest polymorph of the same formula: 1.76 eV/f.u.

a = 11.0546 Å, b = 11.0546 Å, c = 11.0546 Å
α = 16.33°, β = 16.33°, γ = 16.33°
With the nearest neighbours (Å) after each atom.
Fractional coordinates of all 4 atoms:
Ce: 0.0000 0.0000 0.0000  2 Pa 2.99, 6 Ce 3.14
Pa: 0.0913 0.0913 0.0913  1 Ce 2.99, 3 As 3.06, 6 Pa 3.14
Pa: 0.9087 0.9087 0.9087  1 Ce 2.99, 3 As 3.06, 6 Pa 3.14
As: 0.5000 0.5000 0.5000  6 Pa 3.06, 6 As 3.14

- What is the formula in the first record?
  Ce4PaAs6

- What is the total moment in the third record?
  0.207 μB/atom